[1]
# AlZn2H (PBE-GGA, relaxed)
data_AlZn2H
_chemical_formula_sum 'Al4 Zn8 H4'
_space_group_name_H-M_alt 'I -4 2 d'
_space_group_IT_number 122
_space_group_name_Hall 'I -4 2bw'
_cell_length_a 4.660
_cell_length_b 4.660
_cell_length_c 11.250
_cell_angle_alpha 90.00
_cell_angle_beta 90.00
_cell_angle_gamma 90.00
loop_
_atom_site_label
_atom_site_fract_x
_atom_site_fract_y
_atom_site_fract_z
Al1 0.000 0.000 0.000
Zn1 0.100 0.250 0.625
H1 0.000 0.000 0.500
# - E: -2.06 eV per atom
# - Total magnetic moment: 0.00 Bohr magnetons per cell
# - ΔE to the lowest computed polymorph: 0.000 eV/atom

[2]
# Pr2ErSe3 (PBE-GGA, relaxed)
data_Pr2ErSe3
_chemical_formula_sum 'Pr4 Er2 Se6'
_space_group_name_H-M_alt 'I m m m'
_space_group_IT_number 71
_space_group_name_Hall '-I 2 2'
_cell_length_a 3.912
_cell_length_b 5.220
_cell_length_c 16.256
_cell_angle_alpha 90.00
_cell_angle_beta 90.00
_cell_angle_gamma 90.00
loop_
_atom_site_label
_atom_site_fract_x
_atom_site_fract_y
_atom_site_fract_z
Pr1 0.000 0.000 0.146
Er1 0.000 0.000 0.500
Se1 0.000 0.000 0.329
Se2 0.000 0.500 0.500
# - E: -5.64 eV per atom
# - Total magnetic moment: 0.00 Bohr magnetons per cell
# - Uncorrected formation energy: -1543.9 meV per atom
# - ΔE to the lowest computed polymorph: 0.255 eV/atom

[3]
# BaNaHfAu (PBE-GGA, relaxed)
data_BaNaHfAu
_chemical_formula_sum 'Ba2 Na2 Hf2 Au2'
_space_group_name_H-M_alt 'C 1 m 1'
_space_group_IT_number 8
_cell_length_a 8.975
_cell_length_b 4.025
_cell_length_c 8.006
_cell_angle_alpha 90.00
_cell_angle_beta 107.78
_cell_angle_gamma 90.00
loop_
_space_group_symop_operation_xyz
'x,y,z'
'x,-y,z'
'x+1/2,y+1/2,z'
'x+1/2,-y+1/2,z'
loop_
_atom_site_label
_atom_site_fract_x
_atom_site_fract_y
_atom_site_fract_z
Ba1 0.000 0.000 0.000
Na1 0.324 0.500 0.382
Hf1 0.097 0.500 0.654
Au1 0.297 0.000 0.660
# - E: -4.04 eV per atom
# - Total magnetic moment: 0.00 Bohr magnetons per cell
# - Formation enthalpy at 0 K: 0.309 eV per formula unit
# - ΔE to the lowest computed polymorph: 0.071 eV/atom

[4]
# KInW (PBE-GGA, relaxed)
data_KInW
_chemical_formula_sum 'K1 In1 W1'
_space_group_name_H-M_alt 'P 3 m 1'
_space_group_IT_number 156
_cell_length_a 3.0228
_cell_length_b 3.0228
_cell_length_c 8.6160
_cell_angle_alpha 90.00
_cell_angle_beta 90.00
_cell_angle_gamma 120.00
loop_
_space_group_symop_operation_xyz
'x,y,z'
'-y,x-y,z'
'-x+y,-x,z'
'-y,-x,z'
'-x+y,y,z'
'x,x-y,z'
loop_
_atom_site_label
_atom_site_fract_x
_atom_site_fract_y
_atom_site_fract_z
K1 0.0000 0.0000 0.0000
In1 0.3333 0.6667 0.6346
W1 0.6667 0.3333 0.3526
# - E: -4.65 eV per atom
# - Total magnetic moment: 0.00 Bohr magnetons per cell
# - Formation enthalpy at 0 K: 2.852 eV per formula unit
# - ΔE to the lowest computed polymorph: 0.044 eV/atom

[5]
# Sb2PAu (PBE-GGA, relaxed)
data_Sb2PAu
_chemical_formula_sum 'Sb2 P1 Au1'
_space_group_name_H-M_alt 'P 1 2/m 1'
_space_group_IT_number 10
_cell_length_a 3.017
_cell_length_b 3.908
_cell_length_c 7.992
_cell_angle_alpha 90.00
_cell_angle_beta 90.07
_cell_angle_gamma 90.00
loop_
_space_group_symop_operation_xyz
'x,y,z'
'-x,-y,-z'
'-x,y,-z'
'x,-y,z'
loop_
_atom_site_label
_atom_site_fract_x
_atom_site_fract_y
_atom_site_fract_z
Sb1 0.001 0.000 0.244
P1 0.000 0.500 0.000
Au1 0.000 0.500 0.500
# - E: -4.10 eV per atom
# - Total magnetic moment: 0.00 Bohr magnetons per cell
# - Uncorrected formation energy: 136.1 meV per atom

[6]
# DyTmPd2 (PBE-GGA, relaxed)
data_DyTmPd2
_chemical_formula_sum 'Dy4 Tm4 Pd8'
_space_group_name_H-M_alt 'C 1 2/m 1'
_space_group_IT_number 12
_cell_length_a 12.511
_cell_length_b 5.439
_cell_length_c 5.950
_cell_angle_alpha 90.00
_cell_angle_beta 118.09
_cell_angle_gamma 90.00
loop_
_space_group_symop_operation_xyz
'x,y,z'
'-x,-y,-z'
'-x,y,-z'
'x,-y,z'
'x+1/2,y+1/2,z'
'-x+1/2,-y+1/2,-z'
'-x+1/2,y+1/2,-z'
'x+1/2,-y+1/2,z'
loop_
_atom_site_label
_atom_site_fract_x
_atom_site_fract_y
_atom_site_fract_z
Dy1 0.144 0.000 0.322
Tm1 0.143 0.500 0.961
Pd1 0.098 0.500 0.428
Pd2 0.101 0.000 0.771
# - E: -5.66 eV per atom
# - Total magnetic moment: 0.00 Bohr magnetons per cell
# - Formation enthalpy at 0 K: -3.199 eV per formula unit
# - ΔE to the lowest computed polymorph: 0.136 eV/atom

Q: Which theoretical density values were calculated for the entries above? A: 4.318; 6.862; 6.461; 8.226; 8.309; 10.122, in g/cm3.